First-principles (PBE+U) data for an optimized crystal structure of VMoO5, as listed in Alexandria.

Unit cell a=4.5798 b=6.7456 c=6.7456 alpha=90.00 beta=90.00 gamma=90.00
Positions (direct):
1 Mo 0.5000 0.7500 0.2500
2 Mo 0.5000 0.2500 0.7500
3 O 0.2733 0.7790 0.0354
4 O 0.2733 0.0354 0.7210
5 O 0.1886 0.2500 0.2500
6 O 0.7267 0.2210 0.9646
7 O 0.7267 0.9646 0.2790
8 O 0.2733 0.4646 0.7790
9 O 0.7267 0.2790 0.5354
10 O 0.7267 0.5354 0.2210
11 O 0.2733 0.7210 0.4646
12 O 0.8114 0.7500 0.7500
13 V 0.8315 0.2500 0.2500
14 V 0.1685 0.7500 0.7500

## Properties
* final energy: -7.338 eV per atom